No. 1
4
Lattice="-2.8227 -1.1817 -4.4525 2.5709 -0.9442 -4.6570 0.1428 -5.0002 -2.0412" Properties=species:S:1:pos:R:3 comment="PBE CeNdDyAl, optimized geometry" formation_energy_mev_per_atom=-14 total_magnetization_mub_per_atom=0.17 sg="F-43m, No. 216" pbc="T T T"
Nd 0.0000 0.0000 0.0000
Al -0.0272 -1.7815 -2.7877
Ce -0.0545 -3.5631 -5.5754
Dy -0.0817 -5.3446 -8.3631

=====

No. 2
4
Lattice="-4.2122 0.8199 2.8830 -1.7425 -3.7143 3.1456 0.4383 0.5354 5.1233" Properties=species:S:1:pos:R:3 comment="PBE CeDyPaAl, optimized geometry" formation_energy_mev_per_atom=113 total_magnetization_mub_per_atom=0.30 sg="F-43m, No. 216" pbc="T T T"
Pa 0.0000 0.0000 0.0000
Al -1.3791 -0.5898 2.7880
Ce -4.1374 -1.7693 8.3639
Dy -2.7582 -1.1795 5.5759

=====

No. 3
4
Lattice="5.0299 0.0000 0.0000 2.5150 4.3560 0.0000 2.5150 1.4520 4.1069" Properties=species:S:1:pos:R:3 comment="PBE CeDyAlRh, optimized geometry" formation_energy_mev_per_atom=-453 total_magnetization_mub_per_atom=0.08 sg="F-43m, No. 216" pbc="T T T"
Rh 0.0000 0.0000 0.0000
Al 5.0299 2.9040 2.0535
Ce 7.5449 4.3560 3.0802
Dy 2.5150 1.4520 1.0267

=====

No. 4
4
Lattice="-1.8255 4.8733 -0.5133 -0.5134 2.1123 -4.7560 -4.7629 0.8107 -2.0005" Properties=species:S:1:pos:R:3 comment="PBE CeDyScAl, optimized geometry" formation_energy_mev_per_atom=-82 total_magnetization_mub_per_atom=0.12 sg="F-43m, No. 216" pbc="T T T"
Sc 0.0000 0.0000 0.0000
Al -3.5509 3.8981 -3.6349
Ce -1.7754 1.9491 -1.8175
Dy -5.3263 5.8472 -5.4524

=====

No. 5
9
Lattice="6.4790 0.2154 0.3109 -2.9210 5.7871 -0.3109 -2.9210 -2.3243 5.3090" Properties=species:S:1:pos:R:3 comment="PBE Ce2Dy2AlSi4, optimized geometry" total_magnetization_mub_per_atom=0.02 raw_formation_energy_mev_per_atom=-131 sg="I4/mmm, No. 139" pbc="T T T"
Ce -3.9345 2.3321 3.3661
Ce -1.9076 1.1307 1.6320
Dy 0.3184 3.8670 1.2495
Dy 0.3184 -0.1887 4.0594
Al 0.0000 0.0000 0.0000
Si -2.9210 3.7960 1.0686
Si -1.1099 2.7225 3.9295
Si -2.9210 -0.3332 3.9295
Si 1.7467 0.9558 1.3795

=====

No. 6
4
Lattice="-4.1319 -3.0831 -1.1745 -2.8365 -2.2095 3.8768 -4.9168 1.6862 0.9693" Properties=species:S:1:pos:R:3 comment="PBE CeDyAlSn, optimized geometry" formation_energy_mev_per_atom=-410 total_magnetization_mub_per_atom=0.25 sg="F-43m, No. 216" pbc="T T T"
Al 0.0000 0.0000 0.0000
Sn -5.9426 -1.8032 1.8358
Ce -8.9139 -2.7048 2.7537
Dy -2.9713 -0.9016 0.9179

=====

No. 7
4
Lattice="5.3351 0.0000 0.0000 2.6676 4.6203 0.0000 2.6676 1.5401 4.3561" Properties=species:S:1:pos:R:3 comment="PBE TbCeDyAl, optimized geometry" formation_energy_mev_per_atom=-33 total_magnetization_mub_per_atom=0.04 sg="F-43m, No. 216" pbc="T T T"
Tb 5.3351 3.0802 2.1780
Al 8.0027 4.6203 3.2671
Ce 0.0000 0.0000 0.0000
Dy 2.6676 1.5401 1.0890

=====

No. 8
4
Lattice="-1.0669 4.4870 1.9238 -3.5802 0.4492 3.4574 1.2148 1.0419 4.7341" Properties=species:S:1:pos:R:3 comment="PBE CeDyAlTc, optimized geometry" formation_energy_mev_per_atom=-136 total_magnetization_mub_per_atom=0.00 sg="F-43m, No. 216" pbc="T T T"
Al -2.5742 4.4836 7.5864
Tc -0.8581 1.4945 2.5288
Ce -1.7161 2.9891 5.0576
Dy 0.0000 0.0000 0.0000

=====

No. 9
4
Lattice="-1.0878 4.0819 2.9616 1.8005 0.2365 4.8290 3.7118 3.3739 1.2067" Properties=species:S:1:pos:R:3 comment="PBE CeDyTiAl, optimized geometry" formation_energy_mev_per_atom=-23 total_magnetization_mub_per_atom=0.80 sg="F-43m, No. 216" pbc="T T T"
Ti 1.1061 1.9231 2.2493
Al 3.3184 5.7693 6.7479
Ce 2.2122 3.8462 4.4986
Dy 0.0000 0.0000 0.0000

=====

No. 10
7
Lattice="-2.6656 3.3631 0.8758 -2.2018 1.9517 -3.2444 -8.4727 -3.9692 0.4060" Properties=species:S:1:pos:R:3 comment="PBE Ce2DyAl2Zn2, optimized geometry" formation_energy_mev_per_atom=-337 total_magnetization_mub_per_atom=0.18 sg="R-3m, No. 166" pbc="T T T"
Ce -5.5664 -1.5335 -0.1012
Ce -7.7738 2.8792 -1.8613
Dy 0.0000 0.0000 0.0000
Al -10.2840 0.7755 -1.4232
Al -3.0562 0.5701 -0.5393
Zn -4.6320 2.3808 -1.3370
Zn -8.7082 -1.0352 -0.6256

=====

No. 11
4
Lattice="5.1140 0.0000 0.0000 2.5570 4.4289 0.0000 2.5570 1.4763 4.1756" Properties=species:S:1:pos:R:3 comment="PBE CeDyAlZn, optimized geometry" formation_energy_mev_per_atom=-306 total_magnetization_mub_per_atom=0.08 sg="F-43m, No. 216" pbc="T T T"
Zn 0.0000 0.0000 0.0000
Al 5.1140 2.9526 2.0878
Ce 2.5570 1.4763 1.0439
Dy 7.6710 4.4289 3.1317

=====

No. 12
4
Lattice="-3.5812 3.5833 -0.8179 -2.9972 -0.2697 -4.1567 -4.9698 -1.1800 0.4924" Properties=species:S:1:pos:R:3 comment="PBE CeDyZrAl, optimized geometry" formation_energy_mev_per_atom=-7 total_magnetization_mub_per_atom=0.01 sg="F-43m, No. 216" pbc="T T T"
Al -5.7741 1.0668 -2.2411
Zr -2.8870 0.5334 -1.1205
Ce 0.0000 0.0000 0.0000
Dy -8.6611 1.6003 -3.3616

=====

No. 13
11
Lattice="3.3007 0.0000 0.0000 0.0000 8.0941 0.0000 -1.6503 -4.0471 14.4284" Properties=species:S:1:pos:R:3 comment="PBE Ce2Er5Al4, optimized geometry" formation_energy_mev_per_atom=507 total_magnetization_mub_per_atom=0.29 sg="Immm, No. 71" pbc="T T T"
Ce 1.6503 4.0471 11.7034
Ce 0.0000 0.0000 2.7249
Er 0.0000 1.6347 5.7771
Er 1.6503 2.4123 8.6513
Er 0.0000 6.4594 5.7771
Er 1.6503 0.0000 0.0000
Er 1.6503 -2.4123 8.6513
Al 1.6503 4.0471 6.0062
Al 0.0000 2.6524 0.0000
Al 0.0000 0.0000 8.4221
Al 0.0000 5.4417 0.0000

=====

No. 14
4
Lattice="-0.4538 -4.5670 0.2446 1.2854 0.1178 4.5846 -4.5619 0.5211 1.2657" Properties=species:S:1:pos:R:3 comment="PBE CeEr2Al, optimized geometry" formation_energy_mev_per_atom=-145 total_magnetization_mub_per_atom=0.01 de_polymorph_mev_per_atom=11 sg="P4/mmm, No. 123" pbc="T T T"
Al -0.2269 -2.2835 0.1223
Ce -1.8652 -1.9640 3.0474
Er -2.2810 0.2606 0.6328
Er 0.6427 0.0589 2.2923

=====

No. 15
14
Lattice="8.1429 0.0000 -0.2458 0.0000 6.4269 0.0000 -3.3910 0.0000 7.2246" Properties=species:S:1:pos:R:3 comment="PBE CeEr4Al2, optimized geometry" formation_energy_mev_per_atom=-69 total_magnetization_mub_per_atom=0.12 sg="P2_1/m, No. 11" pbc="T T T"
Ce 0.9761 4.8202 2.2197
Ce 3.7757 1.6067 4.7591
Er 3.8395 3.1817 1.5711
Er -2.2252 4.8202 6.3616
Er 6.9771 1.6067 0.6172
Er 3.8395 0.0317 1.5711
Er -1.5011 1.6067 3.9659
Er 0.9124 6.3952 5.4077
Er 0.9124 3.2452 5.4077
Er 6.2529 4.8202 3.0129
Al 6.4096 4.8202 -0.0833
Al -1.6578 1.6067 7.0621
Al 1.3771 1.6067 2.7352
Al 3.3747 4.8202 4.2436

=====

No. 16
9
Lattice="3.4951 0.0000 0.0000 0.0000 6.9165 -3.9933 0.0000 0.0000 7.9865" Properties=species:S:1:pos:R:3 comment="PBE Ce2ErAl6, optimized geometry" formation_energy_mev_per_atom=-433 total_magnetization_mub_per_atom=0.15 sg="P6/mmm, No. 191" pbc="T T T"
Ce 0.0000 2.3055 3.9933
Ce 3.4951 4.6110 0.0000
Er 0.0000 0.0000 7.9865
Al 1.7476 2.2919 1.3232
Al 1.7476 4.6247 2.6701
Al 1.7476 0.0000 5.3401
Al 1.7476 4.6247 5.3165
Al 1.7476 2.2919 -1.3232
Al 1.7476 0.0000 2.6464

=====

No. 17
12
Lattice="5.2461 0.0000 0.0000 0.0000 10.7818 0.0000 -2.6230 0.0000 5.9981" Properties=species:S:1:pos:R:3 comment="PBE CeEr4Al, optimized geometry" formation_energy_mev_per_atom=-44 total_magnetization_mub_per_atom=0.16 sg="Cmc2_1, No. 36" pbc="T T T"
Ce 2.6230 7.8569 2.1999
Ce 0.0000 2.4660 3.7981
Er 0.0000 2.1952 0.0533
Er 2.6230 7.5861 5.9448
Er 0.0000 10.1574 5.6952
Er 2.6230 4.7665 0.3029
Er 2.6230 4.8018 3.8283
Er 0.0000 10.1927 2.1698
Er 2.6230 1.7209 2.1471
Er 0.0000 7.1118 3.8510
Al 2.6230 10.2861 4.1948
Al 0.0000 4.8952 1.8033

=====

No. 18
18
Lattice="-0.8958 -5.7827 2.9144 8.3366 0.4422 3.4397 -6.9741 3.4058 4.6141" Properties=species:S:1:pos:R:3 comment="PBE CeEr5Al3, optimized geometry" formation_energy_mev_per_atom=-259 total_magnetization_mub_per_atom=0.19 sg="P6_3/mcm, No. 193" pbc="T T T"
Ce 0.0000 0.0000 0.0000
Ce -0.4479 -2.8913 1.4572
Er 3.2330 1.4301 3.8312
Er -2.3184 -0.4735 5.6797
Er -1.8705 2.4179 4.2225
Er 2.7851 -1.4612 5.2885
Er 0.2427 -1.7541 7.5918
Er 5.3719 -2.7751 7.1425
Er 2.0690 -4.1916 3.3167
Er 0.2240 -0.1806 3.3764
Er -4.9052 0.8404 3.8257
Er 5.3718 -1.1488 3.0374
Al -0.2092 -3.0305 4.9202
Al -5.2781 -2.0875 5.2334
Al 4.8344 -4.0449 4.4577
Al 0.6760 1.0959 6.0480
Al 5.7448 0.1529 5.7349
Al 2.6064 -1.2955 1.8964

=====

No. 19
12
Lattice="5.3192 0.0000 1.5831 2.4240 4.7348 1.5831 0.1092 0.0668 9.3609" Properties=species:S:1:pos:R:3 comment="PBE CeEr2Al9, optimized geometry" formation_energy_mev_per_atom=-385 total_magnetization_mub_per_atom=0.06 sg="R-3m, No. 166" pbc="T T T"
Ce 0.0000 0.0000 0.0000
Er 6.6986 4.0960 6.6763
Er 1.1539 0.7056 5.8508
Al 5.1493 3.1487 2.1540
Al 2.7032 1.6529 10.3731
Al 3.9263 2.4008 6.2636
Al 3.2250 1.9720 3.6608
Al 5.9365 1.9720 4.4678
Al 4.4607 4.3856 4.4678
Al 4.6275 2.8296 8.8663
Al 3.3918 0.4160 8.0593
Al 1.9160 2.8296 8.0593

=====

No. 20
8
Lattice="-3.9139 -0.5725 -2.2922 0.2949 -4.3341 0.5789 -2.7152 -1.1355 9.4790" Properties=species:S:1:pos:R:3 comment="PBE Ce4ErAl3, optimized geometry" formation_energy_mev_per_atom=-249 total_magnetization_mub_per_atom=0.00 sg="Immm, No. 71" pbc="T T T"
Ce -2.4801 -1.7609 4.6747
Ce -3.8541 -4.2811 3.0911
Ce -3.0803 -2.2578 1.2645
Ce -3.2539 -3.7842 6.5013
Er -1.9570 -0.2862 -1.1461
Al 0.1474 -2.1670 0.2894
Al -0.8000 -4.1660 2.4065
Al -5.5342 -1.8761 5.3592

=====

Calculated Fermi-level density of states, 2.18 2.51 1.40 2.10 1.32 1.99 2.03 0.72 1.51 1.32 1.43 1.71 2.20 1.88 1.49 1.05 1.67 1.26 0.78 1.64 states/eV per atom (same order as the records).